The following is a DFT calculation (GGA-PBE) of a geometry-optimized TbHoPb structure.

a = 5.3113 Å, b = 5.3113 Å, c = 3.7037 Å
α = 90.00°, β = 90.00°, γ = 120.00°
Space group P3m1 (No. 156)
One atom of each set of equivalent atoms:
Tb1 0.0000 0.0000 0.0000
Ho1 0.6667 0.3333 0.5355
Pb1 0.3333 0.6667 0.2908

Output
D(E_F) ... 4.0 states/eV per cell
Total moment ... 0.00 μB/f.u.
Energy above the most stable polymorph in this dataset ... 48.4 meV per atom
DFT formation energy ... -0.20 eV per atom
E_tot ... -13.51 eV for the cell shown

***

The following is a DFT calculation (GGA-PBE) of a geometry-optimized CaLaY2H structure.

a = 5.0794 Å, b = 5.0794 Å, c = 5.2963 Å
α = 90.00°, β = 90.00°, γ = 90.00°
Space group P4/mmm (No. 123)
One atom of each set of equivalent atoms:
Ca1 0.0000 0.0000 0.0000
La1 0.5000 0.5000 0.0000
Y1 0.0000 0.5000 0.5000
H1 0.0000 0.0000 0.5000

Output
D(E_F) ... 5.8 states/eV per cell
Total moment ... 0.00 μB/f.u.
Energy above the most stable polymorph in this dataset ... 12.9 meV per atom
E_tot ... -23.58 eV for the cell shown

***

The following is a DFT calculation (GGA-PBE) of a geometry-optimized MnReTe2 structure.

a = 3.2825 Å, b = 3.2825 Å, c = 29.8947 Å
α = 90.00°, β = 90.00°, γ = 120.00°
Space group R3m (No. 160, hexagonal axes)
One atom of each set of equivalent atoms:
Mn1 0.0000 0.0000 0.0000
Re1 0.0000 0.0000 0.7304
Te1 0.0000 0.0000 0.2694
Te2 0.0000 0.0000 0.4611

Output
D(E_F) ... 8.4 states/eV per cell
E_form (uncorrected) ... 0.34 eV/atom
Total moment ... 2.94 μB/f.u.
Energy above the most stable polymorph in this dataset ... 256.9 meV per atom
E_tot ... -79.62 eV for the cell shown

***

The following is a DFT calculation (GGA-PBE) of a geometry-optimized Rb3BiI structure.

a = 12.3395 Å, b = 6.1712 Å, c = 14.3277 Å
α = 90.00°, β = 107.92°, γ = 90.00°
Space group C2/m (No. 12)
One atom of each set of equivalent atoms:
Rb1 0.1070 0.0000 0.3647
Rb2 0.1374 0.5000 0.0962
Rb3 0.1858 0.5000 0.8331
Bi1 0.0450 0.0000 0.9086
I1 0.2002 0.0000 0.6368

Output
D(E_F) ... 1.2 states/eV per cell
E_form (uncorrected) ... -0.77 eV/atom
Total moment ... 0.00 μB/f.u.
Energy above the most stable polymorph in this dataset ... 0.0 meV per atom
E_tot ... -48.65 eV for the cell shown